Entry from Alexandria: a relaxed Li2NiW crystal (PBE-GGA).

Cell: 3.459 3.459 4.574 Å, 90.00 90.00 90.00°
Fractional coordinates of all 4 atoms:
Li 0.000 0.500 0.000
Li 0.500 0.000 0.000
Ni 0.000 0.000 0.500
W 0.500 0.500 0.500

Summary:
Polymorph energy (0 for the lowest one) (eV/f.u.): 1.08
ΔH_f (0 K) (meV per atom): 469
Total magnetization (μB per formula unit): 0.00